[1]
GGA-PBE Ba2NaCd, relaxed; E_tot = -1.705 eV/atom; energy of formation = -0.185 eV/atom; mass density = 3.83 g/cm³; crystal system = tetragonal
1.0
4.321 0.000 0.000
0.000 4.321 0.000
0.000 0.000 9.513
Ba Cd Na
2 1 1
Direct
0.000 0.000 0.788
0.000 0.000 0.212
0.500 0.500 0.000
0.500 0.500 0.500


[2]
GGA-PBE Ba2Na15Cd2, relaxed; E_tot = -1.334 eV/atom; energy of formation = 0.006 eV/atom; mass density = 1.99 g/cm³; crystal system = trigonal
1.0
8.891 -0.082 1.070
0.940 8.842 1.070
-0.092 -0.082 8.955
Na Cd Ba
15 2 2
Direct
0.854 0.355 0.355
0.720 0.280 0.000
0.000 0.280 0.720
0.000 0.000 0.500
0.355 0.854 0.355
0.000 0.720 0.280
0.645 0.146 0.645
0.720 0.000 0.280
0.280 0.000 0.720
0.000 0.500 0.000
0.146 0.645 0.645
0.280 0.720 0.000
0.355 0.355 0.854
0.645 0.645 0.146
0.500 0.000 0.000
0.903 0.903 0.903
0.097 0.097 0.097
0.672 0.672 0.672
0.328 0.328 0.328


[3]
GGA-PBE Ba2NaCd, relaxed; E_tot = -1.266 eV/atom; energy of formation = 0.253 eV/atom; mass density = 3.21 g/cm³; crystal system = orthorhombic
1.0
-0.056 8.371 1.491
-5.884 -6.046 1.059
6.804 4.389 2.596
Cd Ba Na
1 2 1
Direct
0.500 0.000 0.500
0.727 0.000 0.727
0.273 0.000 0.273
0.000 0.000 0.000


[4]
GGA-PBE Ba3Na2Cd9, relaxed; E_tot = -1.447 eV/atom; energy of formation = -0.258 eV/atom; mass density = 5.76 g/cm³; crystal system = orthorhombic
1.0
-2.469 -1.968 -4.285
-2.852 -8.949 2.447
-9.298 -1.104 2.559
Cd Ba Na
9 3 2
Direct
0.138 0.153 0.571
0.334 0.020 0.313
0.666 0.980 0.687
0.862 0.847 0.429
0.666 0.687 0.980
0.334 0.313 0.020
0.862 0.429 0.847
0.000 0.500 0.500
0.138 0.571 0.153
0.000 0.000 0.000
0.286 0.714 0.714
0.714 0.286 0.286
0.500 0.686 0.314
0.500 0.314 0.686


[5]
GGA-PBE Ba2NaCd2, relaxed; E_tot = -1.620 eV/atom; offset from the most stable computed form = 0 meV/atom; energy of formation = -0.221 eV/atom; mass density = 4.21 g/cm³; crystal system = orthorhombic
1.0
4.584 0.000 0.000
0.000 4.911 -1.396
0.000 -0.051 9.159
Cd Ba Na
2 2 1
Direct
0.000 0.799 0.597
0.000 0.201 0.403
0.500 0.365 0.729
0.500 0.635 0.271
0.000 0.000 0.000


[6]
GGA-PBE BaNaNdCd, relaxed; E_tot = -2.207 eV/atom; energy of formation = 0.024 eV/atom; mass density = 4.83 g/cm³; crystal system = cubic
1.0
5.874 0.000 0.000
2.937 5.087 0.000
2.937 1.696 4.796
Nd Ba Na Cd
1 1 1 1
Direct
0.500 0.500 0.500
0.000 0.000 0.000
0.250 0.250 0.250
0.750 0.750 0.750


[7]
GGA-PBE BaNa2CdO, relaxed; E_tot = -2.910 eV/atom; E_form (uncorrected) = -4.12 eV/f.u.; mass density = 3.80 g/cm³; crystal system = tetragonal
1.0
-0.114 -4.221 2.839
3.127 -2.298 -3.292
4.144 1.726 2.732
Cd Na O Ba
1 2 1 1
Direct
0.500 0.500 0.500
0.500 0.000 0.000
0.000 0.500 0.000
0.000 0.000 0.000
0.000 0.000 0.500


[8]
GGA-PBE Ba2NaCdO, relaxed; E_tot = -3.194 eV/atom; E_form (uncorrected) = -4.93 eV/f.u.; mass density = 4.62 g/cm³; crystal system = tetragonal
1.0
-0.726 3.607 4.145
-5.470 -0.081 -0.888
-0.465 -3.782 3.210
Ba Cd O Na
2 1 1 1
Direct
0.000 0.500 0.000
0.500 0.000 0.000
0.500 0.500 0.500
0.000 0.000 0.000
0.000 0.000 0.500


[9]
GGA-PBE Ba2NaCdO4, relaxed; E_tot = -4.869 eV/atom; E_form (uncorrected) = -13.04 eV/f.u.; mass density = 5.17 g/cm³; crystal system = monoclinic
1.0
7.037 0.009 0.005
0.004 7.037 0.005
-3.467 -3.470 6.146
O Ba Cd Na
8 4 2 2
Direct
0.811 0.789 0.059
0.289 0.739 0.548
0.711 0.689 0.441
0.189 0.211 0.941
0.761 0.211 0.952
0.711 0.261 0.452
0.239 0.789 0.048
0.289 0.311 0.559
0.000 0.000 0.500
0.500 0.500 0.000
0.500 0.000 0.500
0.500 0.000 0.000
0.000 0.000 0.000
0.500 0.500 0.500
0.000 0.500 0.000
0.000 0.500 0.500


[10]
GGA-PBE BaNaCd4Pb2, relaxed; E_tot = -1.959 eV/atom; energy of formation = -0.169 eV/atom; mass density = 7.32 g/cm³; crystal system = trigonal
1.0
-3.019 4.063 -1.813
-0.996 0.469 -5.263
-8.946 -3.708 -1.385
Pb Cd Ba Na
2 4 1 1
Direct
0.246 0.246 0.261
0.754 0.754 0.739
0.390 0.390 0.831
0.610 0.610 0.169
0.131 0.131 0.607
0.869 0.869 0.393
0.000 0.000 0.000
0.500 0.500 0.500


[11]
GGA-PBE BaNaCdPb2, relaxed; E_tot = -2.631 eV/atom; energy of formation = -0.317 eV/atom; mass density = 6.78 g/cm³; crystal system = tetragonal
1.0
5.015 0.000 0.000
0.000 5.015 0.000
-2.508 -2.508 6.692
Pb Ba Na Cd
2 1 1 1
Direct
0.387 0.387 0.774
0.613 0.613 0.226
0.000 0.000 0.000
0.750 0.250 0.500
0.250 0.750 0.500


[12]
GGA-PBE Ba2NaCd2Pd5, relaxed; E_tot = -3.564 eV/atom; energy of formation = -0.268 eV/atom; mass density = 7.42 g/cm³; crystal system = tetragonal
1.0
-3.257 -1.204 1.979
6.221 -3.090 8.359
-0.988 9.893 4.392
Cd Na Pd Ba
4 2 10 4
Direct
0.000 0.381 0.119
0.000 0.119 0.619
0.000 0.881 0.381
0.000 0.619 0.881
0.000 0.500 0.500
0.000 0.000 0.000
0.500 0.000 0.500
0.500 0.289 0.557
0.500 0.443 0.289
0.500 0.057 0.789
0.500 0.211 0.057
0.500 0.711 0.443
0.500 0.557 0.711
0.500 0.789 0.943
0.500 0.500 0.000
0.500 0.943 0.211
0.000 0.680 0.180
0.000 0.320 0.820
0.000 0.180 0.320
0.000 0.820 0.680


- The lowest mass density belongs to which entry?
  Ba2Na15Cd2